Version 1
This record from the Alexandria database describes an optimized crystal structure of TaNb2Mo. The functional is PBE.

a = 6.1596 Å, b = 6.1596 Å, c = 7.7792 Å
α = 90.00°, β = 90.00°, γ = 150.59°
Closest atoms and distances in Å follow each position.
Fractional coordinates of all 8 atoms:
Ta: 0.0149 0.9851 0.7500  8 Nb 2.87-3.07, 2 Mo 3.01, 2 Ta 3.13
Ta: 0.9851 0.0149 0.2500  8 Nb 2.87-3.07, 2 Mo 3.01, 2 Ta 3.13
Nb: 0.3673 0.6327 0.5382  3 Mo 2.53-2.79
Nb: 0.3673 0.6327 0.9618  3 Mo 2.53-2.79
Nb: 0.6327 0.3673 0.0382  3 Mo 2.53-2.79
Nb: 0.6327 0.3673 0.4618  3 Mo 2.53-2.79
Mo: 0.2689 0.7311 0.2500  6 Nb 2.53-2.79
Mo: 0.7311 0.2689 0.7500  6 Nb 2.53-2.79

Computed properties:
Total magnetic moment ... 0.0 μB/f.u.
N(E_F) ... 2.969 states/eV/f.u.



Version 2
This record from the Alexandria database describes an optimized crystal structure of TaNb2Mo. The functional is PBE.

a = 3.2565 Å, b = 3.2565 Å, c = 6.6145 Å
α = 90.00°, β = 90.00°, γ = 90.00°
Closest atoms and distances in Å follow each position.
Fractional coordinates of all 4 atoms:
Ta: 0.0000 0.0000 0.0000  8 Nb 2.87
Nb: 0.5000 0.5000 0.2586  4 Mo 2.80, 4 Ta 2.87
Nb: 0.5000 0.5000 0.7414  4 Mo 2.80, 4 Ta 2.87
Mo: 0.0000 0.0000 0.5000  8 Nb 2.80

Computed properties:
Total magnetic moment ... 0.0 μB/f.u.
N(E_F) ... 4.831 states/eV/f.u.



Version 3
This record from the Alexandria database describes an optimized crystal structure of TaNb2Mo. The functional is PBE.

a = 4.6053 Å, b = 4.6053 Å, c = 7.3488 Å
α = 107.96°, β = 107.96°, γ = 90.10°
Closest atoms and distances in Å follow each position.
Fractional coordinates of all 8 atoms:
Ta: 0.1288 0.1288 0.2582  4 Mo 2.80-2.81, 4 Nb 2.86-2.87
Ta: 0.8712 0.8712 0.7418  4 Mo 2.80-2.81, 4 Nb 2.86-2.87
Nb: 0.0000 0.5000 0.0000  4 Ta 2.86-2.87, 4 Nb 2.87-2.88
Nb: 0.3705 0.3705 0.7405  4 Mo 2.79-2.81, 4 Nb 2.87-2.88
Nb: 0.5000 0.0000 0.0000  4 Ta 2.86-2.87, 4 Nb 2.87-2.88
Nb: 0.6295 0.6295 0.2595  4 Mo 2.79-2.81, 4 Nb 2.87-2.88
Mo: 0.2501 0.7499 0.5000  4 Nb 2.79-2.81, 4 Ta 2.80-2.81
Mo: 0.7499 0.2501 0.5000  4 Nb 2.79-2.81, 4 Ta 2.80-2.81

Computed properties:
Total magnetic moment ... 0.0 μB/f.u.
N(E_F) ... 5.038 states/eV/f.u.



It turns out version 3 is the most stable, with the second structure 0.009 eV/atom higher.



Version 1
This record from the Alexandria database describes an optimized crystal structure of TaNb2Mo. The functional is PBE.

a = 6.0761 Å, b = 6.0761 Å, c = 6.0761 Å
α = 151.14°, β = 135.52°, γ = 53.89°
Closest atoms and distances in Å follow each position.
Fractional coordinates of all 4 atoms:
Ta: 0.0000 0.0000 0.0000  4 Mo 2.75, 2 Nb 2.77, 2 Ta 3.03
Nb: 0.2561 0.2561 0.0000  1 Mo 2.64, 4 Nb 2.76, 1 Ta 2.77
Nb: 0.7439 0.7439 0.0000  1 Mo 2.64, 4 Nb 2.76, 1 Ta 2.77
Mo: 0.5000 0.5000 0.0000  2 Nb 2.64, 4 Ta 2.75

Computed properties:
Total magnetic moment ... 0.0 μB/f.u.
N(E_F) ... 4.312 states/eV/f.u.



Version 2
This record from the Alexandria database describes an optimized crystal structure of TaNb2Mo. The functional is PBE.

a = 5.9014 Å, b = 5.9014 Å, c = 5.9014 Å
α = 102.90°, β = 102.90°, γ = 123.60°
Closest atoms and distances in Å follow each position.
Fractional coordinates of all 8 atoms:
Ta: 0.0000 0.0000 0.0000  4 Nb 2.78, 2 Mo 2.79
Ta: 0.7500 0.2500 0.5000  4 Nb 2.78, 2 Mo 2.79
Nb: 0.1419 0.6250 0.0169  2 Mo 2.61, 2 Ta 2.78, 2 Nb 2.80
Nb: 0.3750 0.3919 0.5169  2 Mo 2.61, 2 Ta 2.78, 2 Nb 2.80
Nb: 0.6081 0.1250 0.9831  2 Mo 2.61, 2 Ta 2.78, 2 Nb 2.80
Nb: 0.8750 0.8581 0.4831  2 Mo 2.61, 2 Ta 2.78, 2 Nb 2.80
Mo: 0.2500 0.7500 0.5000  4 Nb 2.61, 2 Ta 2.79
Mo: 0.5000 0.5000 0.0000  4 Nb 2.61, 2 Ta 2.79

Computed properties:
Total magnetic moment ... 0.0 μB/f.u.
N(E_F) ... 3.814 states/eV/f.u.



It turns out version 2 is the most stable, with the second structure 0.027 eV/atom higher.